No. 1
A plane-wave DFT calculation with GGA-PBE was carried out for a relaxed structure of Tb7Al5In.

The structure in CIF format:
```
data_Tb7Al5In
_chemical_formula_sum 'Tb14 Al10 In2'
_cell_length_a 6.265
_cell_length_b 9.983
_cell_length_c 10.650
_cell_angle_alpha 90.00
_cell_angle_beta 90.00
_cell_angle_gamma 90.00
_space_group_name_H-M_alt 'I m m 2'
_space_group_IT_number 44
loop_
_space_group_symop_operation_xyz
'x,y,z'
'-x,-y,z'
'-x,y,z'
'x,-y,z'
'x+1/2,y+1/2,z+1/2'
'-x+1/2,-y+1/2,z+1/2'
'-x+1/2,y+1/2,z+1/2'
'x+1/2,-y+1/2,z+1/2'
loop_
_atom_site_label
_atom_site_type_symbol
_atom_site_fract_x
_atom_site_fract_y
_atom_site_fract_z
Tb1 Tb 0.000 0.000 0.000
Tb2 Tb 0.000 0.000 0.362
Tb3 Tb 0.000 0.318 0.591
Tb4 Tb 0.000 0.328 0.083
Tb5 Tb 0.000 0.500 0.329
Al1 Al 0.000 0.500 0.835
Al2 Al 0.221 0.246 0.843
In1 In 0.000 0.000 0.673
```

Computed properties:
Its total DFT energy (no corrections) is -4.39 eV/atom.

No. 2
A plane-wave DFT calculation with GGA-PBE was carried out for a relaxed structure of MgPdI2.

The structure in CIF format:
```
data_MgPdI2
_chemical_formula_sum 'Mg4 Pd4 I8'
_cell_length_a 7.419
_cell_length_b 7.419
_cell_length_c 7.419
_cell_angle_alpha 90.00
_cell_angle_beta 90.00
_cell_angle_gamma 90.00
_space_group_name_H-M_alt 'F m -3 m'
_space_group_IT_number 225
_space_group_name_Hall '-F 4 2 3'
loop_
_atom_site_label
_atom_site_type_symbol
_atom_site_fract_x
_atom_site_fract_y
_atom_site_fract_z
Mg1 Mg 0.000 0.000 0.000
Pd1 Pd 0.000 0.000 0.500
I1 I 0.250 0.250 0.250
```

Computed properties:
The value obtained for the formation energy (no corrections) is -0.077 eV/atom. Its excess energy over the best structure of this formula in the dataset is 0.314 eV/atom. Its total DFT energy (no corrections) is -2.55 eV/atom.

No. 3
A plane-wave DFT calculation with GGA-PBE was carried out for a relaxed structure of VPd8Pt6.

The structure in CIF format:
```
data_VPd8Pt6
_chemical_formula_sum 'V3 Pd24 Pt18'
_cell_length_a 7.3637
_cell_length_b 7.3637
_cell_length_c 16.1427
_cell_angle_alpha 90.00
_cell_angle_beta 90.00
_cell_angle_gamma 120.00
_space_group_name_H-M_alt 'R -3'
_space_group_IT_number 148
_space_group_name_Hall '-R 3'
loop_
_atom_site_label
_atom_site_type_symbol
_atom_site_fract_x
_atom_site_fract_y
_atom_site_fract_z
V1 V 0.0000 0.0000 0.0000
Pd1 Pd 0.0000 0.0000 0.2517
Pd2 Pd 0.0128 0.2979 0.1295
Pt1 Pt 0.0051 0.3132 0.6297
```

Computed properties:
Its excess energy over the best structure of this formula in the dataset is 0.145 eV/atom. Its total DFT energy (no corrections) is -5.71 eV/atom.

No. 4
A plane-wave DFT calculation with GGA-PBE was carried out for a relaxed structure of TlRe2Ag.

The structure in CIF format:
```
data_TlRe2Ag
_chemical_formula_sum 'Tl2 Re4 Ag2'
_cell_length_a 5.422
_cell_length_b 9.184
_cell_length_c 2.812
_cell_angle_alpha 90.00
_cell_angle_beta 90.00
_cell_angle_gamma 90.00
_space_group_name_H-M_alt 'C m m m'
_space_group_IT_number 65
_space_group_name_Hall '-C 2 2'
loop_
_atom_site_label
_atom_site_type_symbol
_atom_site_fract_x
_atom_site_fract_y
_atom_site_fract_z
Tl1 Tl 0.000 0.000 0.000
Re1 Re 0.250 0.250 0.500
Ag1 Ag 0.000 0.500 0.000
```

Computed properties:
Its excess energy over the best structure of this formula in the dataset is 0.656 eV/atom. Its total DFT energy (no corrections) is -6.41 eV/atom.

No. 5
A plane-wave DFT calculation with GGA-PBE was carried out for a relaxed structure of AcNd2Tl.

The structure in CIF format:
```
data_AcNd2Tl
_chemical_formula_sum 'Ac1 Nd2 Tl1'
_cell_length_a 3.802
_cell_length_b 3.802
_cell_length_c 9.515
_cell_angle_alpha 90.00
_cell_angle_beta 90.00
_cell_angle_gamma 90.00
_space_group_name_H-M_alt 'P 4/m m m'
_space_group_IT_number 123
_space_group_name_Hall '-P 4 2'
loop_
_atom_site_label
_atom_site_type_symbol
_atom_site_fract_x
_atom_site_fract_y
_atom_site_fract_z
Ac1 Ac 0.000 0.000 0.000
Nd1 Nd 0.500 0.500 0.280
Tl1 Tl 0.000 0.000 0.500
```

Computed properties:
Its excess energy over the best structure of this formula in the dataset is 0.000 eV/atom. Its total DFT energy (no corrections) is -4.18 eV/atom.

No. 6
A plane-wave DFT calculation with GGA-PBE was carried out for a relaxed structure of LaPr2Dy6.

The structure in CIF format:
```
data_LaPr2Dy6
_chemical_formula_sum 'La1 Pr2 Dy6'
_cell_length_a 9.8529
_cell_length_b 9.8529
_cell_length_c 3.5658
_cell_angle_alpha 90.00
_cell_angle_beta 90.00
_cell_angle_gamma 120.00
_space_group_name_H-M_alt 'P -3'
_space_group_IT_number 147
loop_
_space_group_symop_operation_xyz
'x,y,z'
'-x,-y,-z'
'-y,x-y,z'
'y,-x+y,-z'
'-x+y,-x,z'
'x-y,x,-z'
loop_
_atom_site_label
_atom_site_type_symbol
_atom_site_fract_x
_atom_site_fract_y
_atom_site_fract_z
La1 La 0.0000 0.0000 0.0000
Pr1 Pr 0.3333 0.6667 0.2361
Dy1 Dy 0.0214 0.3521 0.7300
```

Computed properties:
Its excess energy over the best structure of this formula in the dataset is 0.000 eV/atom. Its total DFT energy (no corrections) is -4.60 eV/atom.